(1)
A plane-wave DFT calculation with PBE was carried out for BaGe3Pd after structural relaxation.

abc: 5.048 5.048 5.048
angles: 90.00 90.00 90.00
Space group Pm-3m (No. 221)
Unique sites:
Ba1 0.000 0.000 0.000 [1 per cell]
Ge1 0.000 0.500 0.500 [3 per cell]
Pd1 0.500 0.500 0.500 [1 per cell]

## Properties
ΔE_f = -0.090 eV per atom
ρ = 6.0 g cm⁻³
Density of states at the Fermi level = 0.35 states/eV/atom
M_tot = 0.0 Bohr magnetons per cell

(2)
A plane-wave DFT calculation with PBE was carried out for PrSc2Pb after structural relaxation.

abc: 4.777 4.777 4.637
angles: 90.00 90.00 90.00
Space group P4/mmm (No. 123)
Unique sites:
Pr1 0.000 0.000 0.000 [1 per cell]
Sc1 0.000 0.500 0.500 [2 per cell]
Pb1 0.500 0.500 0.000 [1 per cell]

## Properties
Offset from the most stable computed form = 0.0 meV per atom
ΔE_f = -0.253 eV per atom
ρ = 6.9 g cm⁻³
Density of states at the Fermi level = 1.63 states/eV/atom
M_tot = 0.2 Bohr magnetons per cell

(3)
A plane-wave DFT calculation with PBE was carried out for HfTiAgAu after structural relaxation.

abc: 3.419 3.419 6.307
angles: 90.00 90.00 90.00
Space group P4mm (No. 99)
Unique sites:
Hf1 0.000 0.000 0.000 [1 per cell]
Ti1 0.500 0.500 0.276 [1 per cell]
Ag1 0.000 0.000 0.503 [1 per cell]
Au1 0.500 0.500 0.758 [1 per cell]

## Properties
ΔE_f = -0.276 eV per atom
ρ = 12.0 g cm⁻³
Density of states at the Fermi level = 0.60 states/eV/atom
M_tot = 0.0 Bohr magnetons per cell

(4)
A plane-wave DFT calculation with PBE was carried out for GeSb2ClF after structural relaxation.

abc: 5.318 5.318 5.001
angles: 90.00 90.00 90.00
Space group P4/mmm (No. 123)
Unique sites:
Ge1 0.000 0.000 0.000 [1 per cell]
Sb1 0.000 0.500 0.500 [2 per cell]
Cl1 0.000 0.000 0.500 [1 per cell]
F1 0.500 0.500 0.000 [1 per cell]

## Properties
ρ = 4.4 g cm⁻³
Density of states at the Fermi level = 0.85 states/eV/atom
M_tot = 0.0 Bohr magnetons per cell
ΔE_f (raw) = 0.592 eV per atom

(5)
A plane-wave DFT calculation with PBE was carried out for GeOs3W after structural relaxation.

abc: 4.440 4.440 4.440
angles: 90.00 90.00 90.00
Space group Pm-3m (No. 221)
Unique sites:
Ge1 0.000 0.000 0.000 [1 per cell]
Os1 0.000 0.000 0.500 [3 per cell]
W1 0.500 0.500 0.500 [1 per cell]

## Properties
Offset from the most stable computed form = 0.0 meV per atom
ΔE_f = 1.861 eV per atom
ρ = 15.7 g cm⁻³
Density of states at the Fermi level = 1.78 states/eV/atom
M_tot = 0.0 Bohr magnetons per cell

(6)
A plane-wave DFT calculation with PBE was carried out for LiNiGe after structural relaxation.

abc: 5.605 5.605 5.605
angles: 90.00 90.00 90.00
Space group F-43m (No. 216)
Unique sites:
Li1 0.000 0.000 0.000 [4 per cell]
Ni1 0.250 0.250 0.250 [4 per cell]
Ge1 0.000 0.000 0.500 [4 per cell]

## Properties
ΔE_f = -0.164 eV per atom
ρ = 5.2 g cm⁻³
Density of states at the Fermi level = 0.50 states/eV/atom
M_tot = 0.0 Bohr magnetons per cell

(7)
A plane-wave DFT calculation with PBE was carried out for Np2Zn16Cu after structural relaxation.

abc: 8.9659 8.9659 13.1657
angles: 90.00 90.00 120.00
Space group R3m (No. 160, hexagonal axes)
Unique sites:
Np1 0.0000 0.0000 0.0000 [3 per cell]
Np2 0.0000 0.0000 0.3248 [3 per cell]
Zn1 0.0000 0.0000 0.5628 [3 per cell]
Zn2 0.0000 0.2934 0.6639 [18 per cell]
Zn3 0.0085 0.5042 0.8138 [9 per cell]
Zn4 0.1694 0.3387 0.8458 [9 per cell]
Zn5 0.1698 0.3396 0.4970 [9 per cell]
Cu1 0.0000 0.0000 0.7649 [3 per cell]

## Properties
ΔE_f = -0.050 eV per atom
ρ = 8.6 g cm⁻³
Density of states at the Fermi level = 1.07 states/eV/atom
M_tot = 25.3 Bohr magnetons per cell

(8)
A plane-wave DFT calculation with PBE was carried out for Tb3MgRu after structural relaxation.

abc: 6.589 9.906 16.096
angles: 90.00 90.00 90.00
Space group Fmmm (No. 69)
Unique sites:
Tb1 0.000 0.000 0.203 [8 per cell]
Tb2 0.000 0.194 0.388 [16 per cell]
Mg1 0.207 0.000 0.000 [8 per cell]
Ru1 0.250 0.250 0.250 [8 per cell]

## Properties
Offset from the most stable computed form = 0.0 meV per atom
ΔE_f = -0.228 eV per atom
ρ = 7.6 g cm⁻³
Density of states at the Fermi level = 0.95 states/eV/atom
M_tot = 0.0 Bohr magnetons per cell

(9)
A plane-wave DFT calculation with PBE was carried out for NaCd10Au2 after structural relaxation.

abc: 6.003 13.814 14.244
angles: 90.00 90.00 90.00
Space group Fmmm (No. 69)
Unique sites:
Na1 0.000 0.000 0.000 [4 per cell]
Cd1 0.000 0.110 0.393 [16 per cell]
Cd2 0.000 0.177 0.169 [16 per cell]
Cd3 0.250 0.000 0.250 [8 per cell]
Au1 0.250 0.250 0.000 [8 per cell]

## Properties
ΔE_f = -0.082 eV per atom
ρ = 8.7 g cm⁻³
Density of states at the Fermi level = 0.34 states/eV/atom
M_tot = 0.0 Bohr magnetons per cell

(10)
A plane-wave DFT calculation with PBE was carried out for NdZnAgHg after structural relaxation.

abc: 7.067 7.067 7.067
angles: 90.00 90.00 90.00
Space group F-43m (No. 216)
Unique sites:
Nd1 0.000 0.000 0.000 [4 per cell]
Zn1 0.250 0.250 0.250 [4 per cell]
Ag1 0.000 0.000 0.500 [4 per cell]
Hg1 0.250 0.250 0.750 [4 per cell]

## Properties
ΔE_f = -0.297 eV per atom
ρ = 9.8 g cm⁻³
Density of states at the Fermi level = 0.78 states/eV/atom
M_tot = 0.0 Bohr magnetons per cell

(11)
A plane-wave DFT calculation with PBE was carried out for La8Os3I3O after structural relaxation.

abc: 14.358 8.300 9.607
angles: 90.00 119.89 90.00
Space group C2/m (No. 12)
Unique sites:
La1 0.023 0.244 0.325 [8 per cell]
La2 0.220 0.000 0.674 [4 per cell]
La3 0.230 0.500 0.691 [4 per cell]
Os1 0.000 0.500 0.500 [2 per cell]
Os2 0.250 0.250 0.500 [4 per cell]
I1 0.000 0.000 0.000 [2 per cell]
I2 0.250 0.250 0.000 [4 per cell]
O1 0.000 0.000 0.500 [2 per cell]

## Properties
ρ = 7.0 g cm⁻³
Density of states at the Fermi level = 0.55 states/eV/atom
M_tot = 2.1 Bohr magnetons per cell
ΔE_f (raw) = -0.845 eV per atom

(12)
A plane-wave DFT calculation with PBE was carried out for ThBi3Pd after structural relaxation.

abc: 4.867 4.682 12.744
angles: 90.00 90.00 90.00
Space group Amm2 (No. 38)
Unique sites:
Th1 0.000 0.000 0.000 [2 per cell]
Bi1 0.000 0.000 0.295 [2 per cell]
Bi2 0.500 0.000 0.528 [2 per cell]
Bi3 0.500 0.000 0.794 [2 per cell]
Pd1 0.000 0.000 0.647 [2 per cell]

## Properties
ΔE_f = -0.374 eV per atom
ρ = 11.0 g cm⁻³
Density of states at the Fermi level = 0.44 states/eV/atom
M_tot = 0.0 Bohr magnetons per cell

(13)
A plane-wave DFT calculation with PBE was carried out for CdSb2OsRu after structural relaxation.

abc: 5.028 5.028 5.155
angles: 90.00 90.00 90.00
Space group P4/mmm (No. 123)
Unique sites:
Cd1 0.000 0.000 0.000 [1 per cell]
Sb1 0.000 0.500 0.500 [2 per cell]
Os1 0.000 0.000 0.500 [1 per cell]
Ru1 0.500 0.500 0.000 [1 per cell]

## Properties
ρ = 8.2 g cm⁻³
Density of states at the Fermi level = 1.13 states/eV/atom
M_tot = 2.0 Bohr magnetons per cell
ΔE_f (raw) = 1.189 eV per atom

(14)
A plane-wave DFT calculation with PBE was carried out for Ta2Ti4Os after structural relaxation.

abc: 2.877 6.911 6.921
angles: 117.59 96.90 99.08
Space group P-1 (No. 2)
Unique sites:
Ta1 0.060 0.431 0.285 [2 per cell]
Ti1 0.271 0.272 0.858 [2 per cell]
Ti2 0.373 0.133 0.408 [2 per cell]
Os1 0.500 0.000 0.000 [1 per cell]

## Properties
Offset from the most stable computed form = 0.0 meV per atom
ΔE_f = -0.125 eV per atom
ρ = 10.5 g cm⁻³
Density of states at the Fermi level = 1.38 states/eV/atom
M_tot = 0.0 Bohr magnetons per cell

(15)
A plane-wave DFT calculation with PBE was carried out for LaNdHgIr after structural relaxation.

abc: 7.424 7.424 7.424
angles: 90.00 90.00 90.00
Space group F-43m (No. 216)
Unique sites:
La1 0.000 0.000 0.000 [4 per cell]
Nd1 0.000 0.000 0.500 [4 per cell]
Hg1 0.250 0.250 0.250 [4 per cell]
Ir1 0.250 0.250 0.750 [4 per cell]

## Properties
Offset from the most stable computed form = 94.5 meV per atom
ΔE_f = -0.501 eV per atom
ρ = 11.0 g cm⁻³
Density of states at the Fermi level = 0.55 states/eV/atom
M_tot = 0.0 Bohr magnetons per cell

(16)
A plane-wave DFT calculation with PBE was carried out for CrTeBr2 after structural relaxation.

abc: 3.744 7.306 9.388
angles: 90.00 90.00 90.00
Space group Cmm2 (No. 35)
Unique sites:
Cr1 0.000 0.000 0.000 [2 per cell]
Te1 0.000 0.500 0.806 [2 per cell]
Br1 0.000 0.000 0.548 [2 per cell]
Br2 0.000 0.500 0.179 [2 per cell]

## Properties
Offset from the most stable computed form = 329.0 meV per atom
ρ = 4.4 g cm⁻³
Density of states at the Fermi level = 0.76 states/eV/atom
M_tot = 6.7 Bohr magnetons per cell
ΔE_f (raw) = 0.016 eV per atom

(17)
A plane-wave DFT calculation with PBE was carried out for SrBe3 after structural relaxation.

abc: 3.6617 3.6617 6.7697
angles: 90.00 90.00 120.00
Space group P-6m2 (No. 187)
Unique sites:
Sr1 0.0000 0.0000 0.0000 [1 per cell]
Be1 0.0000 0.0000 0.5000 [1 per cell]
Be2 0.3333 0.6667 0.3496 [2 per cell]

## Properties
Offset from the most stable computed form = 719.5 meV per atom
ΔE_f = 0.858 eV per atom
ρ = 2.4 g cm⁻³
Density of states at the Fermi level = 0.62 states/eV/atom
M_tot = 0.0 Bohr magnetons per cell

(18)
A plane-wave DFT calculation with PBE was carried out for LiMn2Os after structural relaxation.

abc: 2.944 2.944 5.782
angles: 90.00 90.00 90.00
Space group P4mm (No. 99)
Unique sites:
Li1 0.000 0.000 0.000 [1 per cell]
Mn1 0.000 0.000 0.510 [1 per cell]
Mn2 0.500 0.500 0.246 [1 per cell]
Os1 0.500 0.500 0.740 [1 per cell]

## Properties
ΔE_f = 0.283 eV per atom
ρ = 10.2 g cm⁻³
Density of states at the Fermi level = 0.93 states/eV/atom
M_tot = 3.9 Bohr magnetons per cell

(19)
A plane-wave DFT calculation with PBE was carried out for LaCrC2 after structural relaxation.

abc: 4.581 4.581 11.636
angles: 90.00 90.00 90.00
Space group I4_1/amd (No. 141, origin choice 2)
Unique sites:
La1 0.000 0.250 0.375 [4 per cell]
Cr1 0.000 0.250 0.875 [4 per cell]
C1 0.000 0.000 0.000 [8 per cell]

## Properties
ΔE_f = 0.115 eV per atom
ρ = 5.8 g cm⁻³
Density of states at the Fermi level = 0.36 states/eV/atom
M_tot = 1.6 Bohr magnetons per cell

(20)
A plane-wave DFT calculation with PBE was carried out for ReGeSb after structural relaxation.

abc: 5.939 6.929 5.958
angles: 90.00 108.97 90.00
Space group C2/c (No. 15)
Unique sites:
Re1 0.250 0.250 0.000 [4 per cell]
Ge1 0.000 0.029 0.250 [4 per cell]
Sb1 0.000 0.442 0.250 [4 per cell]

## Properties
ρ = 10.9 g cm⁻³
Density of states at the Fermi level = 0.71 states/eV/atom
M_tot = 0.0 Bohr magnetons per cell
ΔE_f (raw) = 0.403 eV per atom